Density functional theory data (PBE) for SiHg2Pd after structural relaxation.

Calculated values
Space group = F-43m, No. 216
E = -2.517 eV per atom

Cell: 4.7762 4.7762 4.7762 Å, 60.00 60.00 60.00°
Sites, in units of the cell vectors:
Si 0.0000 0.0000 0.0000
Hg 0.5000 0.5000 0.5000
Hg 0.7500 0.7500 0.7500
Pd 0.2500 0.2500 0.2500